This record from the Alexandria database describes a relaxed structure of LiLaYSb. The functional is PBE-GGA.

abc: 7.5569 7.5569 7.5569
angles: 90.00 90.00 90.00
Last column: nearest neighbours and their distance in Å.
Space group F-43m (No. 216)
One atom of each set of equivalent atoms:
Li 0.0000 0.0000 0.0000 [4 per cell]  4 La 3.27, 4 Y 3.27
La 0.2500 0.2500 0.2500 [4 per cell]  4 Li 3.27, 4 Sb 3.27
Y 0.2500 0.2500 0.7500 [4 per cell]  4 Li 3.27, 4 Sb 3.27
Sb 0.0000 0.0000 0.5000 [4 per cell]  4 Y 3.27, 4 La 3.27

The uncorrected formation energy comes out at -0.499 eV/atom.

***

This record from the Alexandria database describes a relaxed structure of LiLaSc2. The functional is PBE-GGA.

abc: 3.3376 5.2281 6.2367
angles: 90.00 104.64 90.00
Last column: nearest neighbours and their distance in Å.
Space group P2/m (No. 10)
One atom of each set of equivalent atoms:
Li 0.0000 0.0000 0.0000 [1 per cell]  4 Sc 3.10, 2 La 3.14, 2 Li 3.34
La 0.5000 0.0000 0.5000 [1 per cell]  2 Li 3.14, 2 La 3.34, 4 Sc 3.44
Sc 0.1570 0.5000 0.7664 [2 per cell]  2 Li 3.10, 5 Sc 3.22-3.34, 2 La 3.44

The formation energy is 0.7 eV per formula unit.

***

This record from the Alexandria database describes a relaxed structure of LiLaSc2. The functional is PBE-GGA.

abc: 3.5881 3.5881 7.9749
angles: 90.00 90.00 90.00
Last column: nearest neighbours and their distance in Å.
Space group P4/mmm (No. 123)
One atom of each set of equivalent atoms:
Li 0.0000 0.0000 0.0000 [1 per cell]  8 Sc 3.02
La 0.0000 0.0000 0.5000 [1 per cell]  8 Sc 3.45, 4 La 3.59
Sc 0.5000 0.5000 0.2064 [2 per cell]  4 Li 3.02, 1 Sc 3.29

The formation energy is 0.6 eV per formula unit.

***

This record from the Alexandria database describes a relaxed structure of Li4LaSc. The functional is PBE-GGA.

abc: 8.2272 8.2272 8.2272
angles: 90.00 90.00 90.00
Last column: nearest neighbours and their distance in Å.
Space group F-43m (No. 216)
One atom of each set of equivalent atoms:
Li 0.1233 0.1233 0.1233 [16 per cell]  6 Li 2.87-2.95
La 0.0000 0.0000 0.5000 [4 per cell]  12 Li 3.42, 4 Sc 3.56
Sc 0.2500 0.2500 0.7500 [4 per cell]  12 Li 3.41, 4 La 3.56

The formation energy is 0.8 eV per formula unit.

***

This record from the Alexandria database describes a relaxed structure of Li2La2Sc. The functional is PBE-GGA.

abc: 3.7261 3.7261 20.8042
angles: 90.00 90.00 90.00
Last column: nearest neighbours and their distance in Å.
Space group I4/mmm (No. 139)
One atom of each set of equivalent atoms:
Li 0.0000 0.5000 0.2500 [4 per cell]  4 Li 2.63
La 0.0000 0.0000 0.1073 [4 per cell]  4 Sc 3.45, 4 Li 3.50, 4 La 3.73
Sc 0.0000 0.0000 0.5000 [2 per cell]  8 La 3.45, 4 Sc 3.73

The formation energy is 0.9 eV per formula unit.

***

This record from the Alexandria database describes a relaxed structure of LiLaSc2. The functional is PBE-GGA.

abc: 3.5406 3.5406 8.4144
angles: 90.00 90.00 90.00
Last column: nearest neighbours and their distance in Å.
Space group P4mm (No. 99)
One atom of each set of equivalent atoms:
Li 0.0000 0.0000 0.0000 [1 per cell]  4 Sc 3.04, 4 La 3.37
La 0.5000 0.5000 0.7314 [1 per cell]  4 Li 3.37, 4 Sc 3.49, 4 La 3.54
Sc 0.0000 0.0000 0.4423 [1 per cell]  8 Sc 3.20-3.54, 4 La 3.49
Sc 0.5000 0.5000 0.2054 [1 per cell]  4 Li 3.04, 4 Sc 3.20

The formation energy is 0.5 eV per formula unit.

***

This record from the Alexandria database describes a relaxed structure of LiLaSc2. The functional is PBE-GGA.

abc: 3.5866 5.4489 10.8433
angles: 90.00 90.00 90.00
Last column: nearest neighbours and their distance in Å.
Space group Cmmm (No. 65)
One atom of each set of equivalent atoms:
Li 0.0000 0.0000 0.0000 [2 per cell]  4 Sc 3.07, 4 Li 3.26
La 0.0000 0.0000 0.5000 [2 per cell]  6 La 3.26-3.59, 4 Sc 3.43
Sc 0.0000 0.5000 0.2300 [4 per cell]  2 Li 3.07, 4 Sc 3.26, 2 La 3.43

The formation energy is 0.9 eV per formula unit.

***

This record from the Alexandria database describes a relaxed structure of LiLaSc4. The functional is PBE-GGA.

abc: 8.7787 8.7787 8.7787
angles: 90.00 90.00 90.00
Last column: nearest neighbours and their distance in Å.
Space group F-43m (No. 216)
One atom of each set of equivalent atoms:
Li 0.0000 0.0000 0.0000 [4 per cell]  12 Sc 3.64, 4 La 3.80
La 0.2500 0.2500 0.2500 [4 per cell]  12 Sc 3.64, 4 Li 3.80
Sc 0.1246 0.1246 0.6246 [16 per cell]  6 Sc 3.09-3.11

The formation energy is 2.0 eV per formula unit.